RbPbCl3 after structural relaxation, computed with PBE.

Results
The symmetry is No. 11. The spin magnetization comes out at 0.000 μB/f.u. The uncorrected energy comes out at -35.2 eV/cell.

a = 5.7088 Å, b = 8.2043 Å, c = 8.1867 Å
α = 90.00°, β = 110.17°, γ = 90.00°
Sites, in units of the cell vectors:
Pb  0.9861  0.2500  0.4674
Pb  0.0139  0.7500  0.5326
Rb  0.6913  0.2500  0.8854
Rb  0.3087  0.7500  0.1146
Cl  0.1359  0.0187  0.7748
Cl  0.8641  0.9813  0.2252
Cl  0.1359  0.4813  0.7748
Cl  0.8641  0.5187  0.2252
Cl  0.4821  0.2500  0.4581
Cl  0.5179  0.7500  0.5419